The following is a DFT calculation (PBE-GGA) of a relaxed Ac5HoTe6 crystal.

Computed properties:
Fermi-level density of states in states/eV/f.u.: 7.1
Uncorrected formation energy in eV/atom: -1.439
Size of the total moment in μB/cell: 0.0

```
12
Lattice="4.0327 -7.0057 0.0000 4.0327 7.0057 0.0000 -2.7099 0.0000 7.6290" Properties=species:S:1:pos:R:3 pbc="T T T"
Ac 0.0000 0.0000 0.0000
Ac 2.6777 4.7012 3.8145
Ac 4.0327 2.4773 0.0000
Ac 4.0327 -2.4773 0.0000
Ac 2.6777 -4.7012 3.8145
Ho 2.6777 0.0000 3.8145
Te 1.4209 2.2154 2.0171
Te 0.1401 0.0000 5.7074
Te 1.4209 -2.2154 2.0171
Te 3.9346 2.2154 5.6119
Te 5.2153 0.0000 1.9215
Te 3.9346 -2.2154 5.6119
```